YGeAs2O: relaxed, GGA-PBE.

```
5
Lattice="-3.680 2.656 0.981 0.089 -1.866 5.388 2.831 3.492 1.163" Properties=species:S:1:pos:R:3 pbc="T T T"
Y 0.044 -0.933 2.694
O -0.380 2.141 3.766
As -1.840 1.328 0.490
As 1.415 1.746 0.581
Ge 0.000 0.000 0.000
```

Properties
- DOS(E_F): 5.05 states/eV per cell
- Electronic total energy: -23.20 eV/cell
- Magnetic moment: 0.0 μB per formula unit